[1]
# La2W

A relaxed structure of La2W (PBE-GGA, the Alexandria database).

Lattice parameters (Å, degrees): 5.0253 5.0253 3.5517 90.00 90.00 120.00
Closest atoms and distances in Å follow each position.
Atoms (fractional coordinates):
La (0.3333, 0.6667, 0.2300)  3 W 3.06, 3 La 3.33
La (0.6667, 0.3333, 0.7700)  3 W 3.06, 3 La 3.33
W (0.0000, 0.0000, 0.5000)  6 La 3.06

Summary:
As for the offset from the most stable computed form: 319 meV per atom. The value obtained for the energy of formation from the pure elements is 648 meV per atom.


[2]
# Sm7Dy12Sc

A relaxed structure of Sm7Dy12Sc (PBE-GGA, the Alexandria database).

Lattice parameters (Å, degrees): 8.7347 8.7347 8.7347 85.98 85.98 85.98
Closest atoms and distances in Å follow each position.
Atoms (fractional coordinates):
Sm (0.0000, 0.0000, 0.0000)  6 Dy 3.26
Sm (0.1009, 0.4189, 0.3482)  3 Sm 3.42-3.45, 7 Dy 3.48-3.77
Sm (0.3482, 0.1009, 0.4189)  3 Sm 3.42-3.45, 7 Dy 3.48-3.77
Sm (0.4189, 0.3482, 0.1009)  3 Sm 3.42-3.45, 7 Dy 3.48-3.77
Sm (0.5811, 0.6518, 0.8991)  3 Sm 3.42-3.45, 7 Dy 3.48-3.77
Sm (0.6518, 0.8991, 0.5811)  3 Sm 3.42-3.45, 7 Dy 3.48-3.77
Sm (0.8991, 0.5811, 0.6518)  3 Sm 3.42-3.45, 7 Dy 3.48-3.77
Dy (0.0009, 0.8860, 0.3637)  4 Dy 3.21-3.49, 2 Sm 3.26-3.48
Dy (0.1140, 0.6363, 0.9991)  4 Dy 3.21-3.49, 2 Sm 3.26-3.48
Dy (0.2345, 0.3539, 0.7454)  6 Dy 3.27-3.65, 1 Sc 3.31, 2 Sm 3.53-3.59
Dy (0.2546, 0.7655, 0.6461)  6 Dy 3.27-3.65, 1 Sc 3.31, 2 Sm 3.53-3.59
Dy (0.3539, 0.7454, 0.2345)  6 Dy 3.27-3.65, 1 Sc 3.31, 2 Sm 3.53-3.59
Dy (0.3637, 0.0009, 0.8860)  4 Dy 3.21-3.49, 2 Sm 3.26-3.48
Dy (0.6363, 0.9991, 0.1140)  4 Dy 3.21-3.49, 2 Sm 3.26-3.48
Dy (0.6461, 0.2546, 0.7655)  6 Dy 3.27-3.65, 1 Sc 3.31, 2 Sm 3.53-3.59
Dy (0.7454, 0.2345, 0.3539)  6 Dy 3.27-3.65, 1 Sc 3.31, 2 Sm 3.53-3.59
Dy (0.7655, 0.6461, 0.2546)  6 Dy 3.27-3.65, 1 Sc 3.31, 2 Sm 3.53-3.59
Dy (0.8860, 0.3637, 0.0009)  4 Dy 3.21-3.49, 2 Sm 3.26-3.48
Dy (0.9991, 0.1140, 0.6363)  4 Dy 3.21-3.49, 2 Sm 3.26-3.48
Sc (0.5000, 0.5000, 0.5000)  6 Dy 3.31

Summary:
As for the offset from the most stable computed form: 0 meV per atom. The value obtained for the energy of formation from the pure elements is 240 meV per atom.


[3]
# CoRu

A relaxed structure of CoRu (PBE-GGA, the Alexandria database).

Lattice parameters (Å, degrees): 3.6520 3.6520 3.6520 60.00 60.00 60.00
Closest atoms and distances in Å follow each position.
Atoms (fractional coordinates):
Co (0.0000, 0.0000, 0.0000)  4 Ru 2.24
Ru (0.2500, 0.2500, 0.2500)  4 Co 2.24

Summary:
The value obtained for the energy of formation from the pure elements is 1177 meV per atom.


[4]
# HoHfOs2

A relaxed structure of HoHfOs2 (PBE-GGA, the Alexandria database).

Lattice parameters (Å, degrees): 3.2994 3.2994 6.7333 90.00 90.00 90.00
Closest atoms and distances in Å follow each position.
Atoms (fractional coordinates):
Ho (0.0000, 0.0000, 0.0000)  8 Os 2.95, 4 Ho 3.30
Hf (0.0000, 0.0000, 0.5000)  8 Os 2.81
Os (0.5000, 0.5000, 0.2685)  4 Hf 2.81, 4 Ho 2.95, 1 Os 3.12
Os (0.5000, 0.5000, 0.7315)  4 Hf 2.81, 4 Ho 2.95, 1 Os 3.12

Summary:
As for the offset from the most stable computed form: 0 meV per atom. The value obtained for the energy of formation from the pure elements is -410 meV per atom.


[5]
# RbSr2GeIr

A relaxed structure of RbSr2GeIr (PBE-GGA, the Alexandria database).

Lattice parameters (Å, degrees): 6.0259 6.0259 4.8693 90.00 90.00 90.00
Closest atoms and distances in Å follow each position.
Atoms (fractional coordinates):
Rb (0.0000, 0.0000, 0.0000)  8 Sr 3.87, 4 Ge 4.26
Sr (0.0000, 0.5000, 0.5000)  2 Ir 3.01
Sr (0.5000, 0.0000, 0.5000)  2 Ir 3.01
Ge (0.5000, 0.5000, 0.0000)  2 Ir 2.43
Ir (0.5000, 0.5000, 0.5000)  2 Ge 2.43

Summary:
The value obtained for the energy of formation from the pure elements is -168 meV per atom.


[6]
# MnZn2Os

A relaxed structure of MnZn2Os (PBE-GGA, the Alexandria database).

Lattice parameters (Å, degrees): 4.5869 4.5869 4.5869 130.26 130.26 72.99
Closest atoms and distances in Å follow each position.
Atoms (fractional coordinates):
Mn (0.0000, 0.0000, 0.0000)  4 Os 2.67, 8 Zn 2.67-2.73
Zn (0.5000, 0.5000, 0.0000)  4 Os 2.67, 4 Zn 2.67, 4 Mn 2.73
Zn (0.7500, 0.2500, 0.5000)  4 Mn 2.67, 4 Zn 2.67, 4 Os 2.73
Os (0.2500, 0.7500, 0.5000)  4 Mn 2.67, 8 Zn 2.67-2.73

Summary:
As for the offset from the most stable computed form: 138 meV per atom. The value obtained for the energy of formation from the pure elements is 171 meV per atom.


[7]
# Br3Cl4

A relaxed structure of Br3Cl4 (PBE-GGA, the Alexandria database).

Lattice parameters (Å, degrees): 7.0811 7.0811 4.5344 90.00 90.00 120.00
Closest atoms and distances in Å follow each position.
Atoms (fractional coordinates):
Br (0.0000, 0.5000, 0.0000)  4 Cl 3.05
Br (0.5000, 0.0000, 0.0000)  4 Cl 3.05
Br (0.5000, 0.5000, 0.0000)  4 Cl 3.05
Cl (0.0000, 0.0000, 0.2838)  1 Cl 1.96
Cl (0.0000, 0.0000, 0.7162)  1 Cl 1.96
Cl (0.3333, 0.6667, 0.5000)  6 Br 3.05
Cl (0.6667, 0.3333, 0.5000)  6 Br 3.05

Summary:
As for the offset from the most stable computed form: 0 meV per atom. Its formation energy without anion corrections is 351.2 kJ/mol of formula units.


[8]
# Mg2MnAgH

A relaxed structure of Mg2MnAgH (PBE-GGA, the Alexandria database).

Lattice parameters (Å, degrees): 4.5119 4.5119 3.5630 90.00 90.00 90.00
Closest atoms and distances in Å follow each position.
Atoms (fractional coordinates):
Mg (0.0000, 0.5000, 0.0000)  2 H 2.26
Mg (0.5000, 0.0000, 0.0000)  2 H 2.26
Mn (0.0000, 0.0000, 0.5000)  2 H 1.78
Ag (0.5000, 0.5000, 0.5000)  8 Mg 2.87, 4 Mn 3.19
H (0.0000, 0.0000, 0.0000)  2 Mn 1.78

Summary:
The value obtained for the energy is -0.137 Ha/atom.


[9]
# Pr8MgCd2

A relaxed structure of Pr8MgCd2 (PBE-GGA, the Alexandria database).

Lattice parameters (Å, degrees): 8.8811 8.8811 8.9126 119.57 119.57 36.96
Closest atoms and distances in Å follow each position.
Atoms (fractional coordinates):
Pr (0.0696, 0.0696, 0.2251)  1 Cd 3.29, 6 Pr 3.40-3.66
Pr (0.1378, 0.1378, 0.6921)  3 Cd 3.32-3.42, 2 Mg 3.48, 1 Pr 3.70
Pr (0.3182, 0.3182, 0.5517)  1 Cd 3.30, 1 Mg 3.33, 5 Pr 3.40-3.65
Pr (0.4070, 0.4070, 0.0467)  3 Cd 3.36-3.46, 1 Mg 3.49, 3 Pr 3.64-3.66
Pr (0.5930, 0.5930, 0.9533)  3 Cd 3.36-3.46, 1 Mg 3.49, 3 Pr 3.64-3.66
Pr (0.6818, 0.6818, 0.4483)  1 Cd 3.30, 1 Mg 3.33, 5 Pr 3.40-3.65
Pr (0.8622, 0.8622, 0.3079)  3 Cd 3.32-3.42, 2 Mg 3.48, 1 Pr 3.70
Pr (0.9304, 0.9304, 0.7749)  1 Cd 3.29, 6 Pr 3.40-3.66
Mg (0.5000, 0.5000, 0.5000)  8 Pr 3.33-3.49
Cd (0.2316, 0.2316, 0.1241)  8 Pr 3.29-3.46
Cd (0.7684, 0.7684, 0.8759)  8 Pr 3.29-3.46

Summary:
The value obtained for the energy of formation from the pure elements is -115 meV per atom.


[10]
# CeHoIn2

A relaxed structure of CeHoIn2 (PBE-GGA, the Alexandria database).

Lattice parameters (Å, degrees): 5.4345 5.4345 3.7499 90.00 90.00 90.00
Closest atoms and distances in Å follow each position.
Atoms (fractional coordinates):
Ce (0.0000, 0.0000, 0.0000)  8 In 3.30
Ho (0.5000, 0.5000, 0.0000)  8 In 3.30
In (0.0000, 0.5000, 0.5000)  4 Ce 3.30, 4 Ho 3.30
In (0.5000, 0.0000, 0.5000)  4 Ce 3.30, 4 Ho 3.30

Summary:
The value obtained for the energy of formation from the pure elements is -367 meV per atom.


[11]
# PaAl2Tc

A relaxed structure of PaAl2Tc (PBE-GGA, the Alexandria database).

Lattice parameters (Å, degrees): 4.6709 4.6709 4.6709 60.00 60.00 60.00
Closest atoms and distances in Å follow each position.
Atoms (fractional coordinates):
Pa (0.0000, 0.0000, 0.0000)  8 Al 2.86
Al (0.2500, 0.2500, 0.2500)  4 Tc 2.86, 4 Pa 2.86
Al (0.7500, 0.7500, 0.7500)  4 Pa 2.86, 4 Tc 2.86
Tc (0.5000, 0.5000, 0.5000)  8 Al 2.86

Summary:
As for the offset from the most stable computed form: 337 meV per atom. The value obtained for the energy of formation from the pure elements is -121 meV per atom.


[12]
# TlAgTeSe

A relaxed structure of TlAgTeSe (PBE-GGA, the Alexandria database).

Lattice parameters (Å, degrees): 7.8276 7.8276 7.8276 34.02 34.02 34.02
Closest atoms and distances in Å follow each position.
Atoms (fractional coordinates):
Tl (0.0000, 0.0000, 0.0000)  3 Se 2.86, 1 Te 2.89
Ag (0.5050, 0.5050, 0.5050)  1 Se 2.70, 3 Te 2.73
Te (0.8691, 0.8691, 0.8691)  3 Ag 2.73, 1 Tl 2.89
Se (0.3827, 0.3827, 0.3827)  1 Ag 2.70, 3 Tl 2.86

Summary:
Its formation energy without anion corrections is -50.3 kJ/mol of formula units.


[13]
# Ca2OsAu

A relaxed structure of Ca2OsAu (PBE-GGA, the Alexandria database).

Lattice parameters (Å, degrees): 6.3444 6.3444 6.3444 150.69 133.42 55.99
Closest atoms and distances in Å follow each position.
Atoms (fractional coordinates):
Ca (0.0000, 0.0000, 0.0000)  4 Au 3.07, 2 Os 3.12, 4 Ca 3.21-3.34
Ca (0.6964, 0.1964, 0.5000)  4 Os 3.01, 4 Ca 3.21-3.34, 2 Au 3.36
Os (0.2383, 0.7383, 0.5000)  2 Au 2.71, 4 Ca 3.01
Au (0.4333, 0.4333, 0.0000)  2 Os 2.71

Summary:
The value obtained for the energy of formation from the pure elements is 107 meV per atom.


[14]
# Hg3Ir

A relaxed structure of Hg3Ir (PBE-GGA, the Alexandria database).

Lattice parameters (Å, degrees): 3.2220 4.4504 5.7628 90.00 97.72 90.00
Closest atoms and distances in Å follow each position.
Atoms (fractional coordinates):
Hg (0.0000, 0.0000, 0.0000)  2 Ir 2.88, 10 Hg 3.07-3.22
Hg (0.3932, 0.5000, 0.7330)  2 Ir 2.81, 4 Hg 2.86-3.07
Hg (0.6068, 0.5000, 0.2670)  2 Ir 2.81, 4 Hg 2.86-3.07
Ir (0.0000, 0.0000, 0.5000)  6 Hg 2.81-2.88

Summary:
As for the offset from the most stable computed form: 193 meV per atom. The value obtained for the energy of formation from the pure elements is 475 meV per atom.


[15]
# LaRe

A relaxed structure of LaRe (PBE-GGA, the Alexandria database).

Lattice parameters (Å, degrees): 4.7198 6.7651 6.7651 40.22 90.00 90.00
Closest atoms and distances in Å follow each position.
Atoms (fractional coordinates):
La (0.0000, 0.0000, 0.0000)  4 Re 3.05-3.10, 4 La 3.32
La (0.0000, 0.3029, 0.3029)  4 Re 2.99, 2 La 3.30
La (0.5000, 0.4844, 0.4844)  5 Re 3.21-3.30, 6 La 3.30-3.32
Re (0.0000, 0.6554, 0.6554)  2 Re 2.61
Re (0.5000, 0.1587, 0.1587)  2 Re 2.57
Re (0.5000, 0.7438, 0.7438)  4 Re 2.57-2.61

Summary:
As for the offset from the most stable computed form: 161 meV per atom. The value obtained for the energy of formation from the pure elements is 313 meV per atom.


[16]
# NaYSF2

A relaxed structure of NaYSF2 (PBE-GGA, the Alexandria database).

Lattice parameters (Å, degrees): 4.3862 4.3862 5.4206 90.00 90.00 90.00
Closest atoms and distances in Å follow each position.
Atoms (fractional coordinates):
Na (0.0000, 0.0000, 0.0000)  4 S 3.10
Y (0.5000, 0.5000, 0.5000)  4 F 2.19
S (0.5000, 0.5000, 0.0000)  2 Y 2.71
F (0.0000, 0.5000, 0.5000)  2 Y 2.19
F (0.5000, 0.0000, 0.5000)  2 Y 2.19

Summary:
Its formation energy without anion corrections is -1367.9 kJ/mol of formula units.


[17]
# LiAsPSe2

A relaxed structure of LiAsPSe2 (PBE-GGA, the Alexandria database).

Lattice parameters (Å, degrees): 4.7650 4.7650 4.2175 90.00 90.00 90.00
Closest atoms and distances in Å follow each position.
Atoms (fractional coordinates):
Li (0.0000, 0.0000, 0.0000)  2 P 2.11
As (0.5000, 0.5000, 0.5000)  8 Se 3.18, 4 P 3.37
P (0.0000, 0.0000, 0.5000)  2 Li 2.11
Se (0.0000, 0.5000, 0.0000)  2 Li 2.38
Se (0.5000, 0.0000, 0.0000)  2 Li 2.38

Summary:
As for the offset from the most stable computed form: 389 meV per atom. Its formation energy without anion corrections is 290.4 kJ/mol of formula units.


[18]
# PuTl2HgS4

A relaxed structure of PuTl2HgS4 (PBE-GGA, the Alexandria database).

Lattice parameters (Å, degrees): 7.0954 4.0130 7.8645 90.00 110.09 90.00
Closest atoms and distances in Å follow each position.
Atoms (fractional coordinates):
Pu (0.0000, 0.0000, 0.0000)  6 S 2.69-2.75
Tl (0.0000, 0.5000, 0.5000)  6 S 3.09-3.21
Tl (0.5000, 0.0000, 0.5000)  6 S 3.21-3.42
Hg (0.5000, 0.5000, 0.0000)  4 S 2.72
S (0.2044, 0.5000, 0.2111)  2 Pu 2.69
S (0.2616, 0.0000, 0.8105)  2 Hg 2.72, 1 Pu 2.75
S (0.7384, 0.0000, 0.1895)  2 Hg 2.72, 1 Pu 2.75
S (0.7956, 0.5000, 0.7889)  2 Pu 2.69

Summary:
Its formation energy without anion corrections is -513.7 kJ/mol of formula units.


[19]
# HoUS2N

A relaxed structure of HoUS2N (PBE-GGA, the Alexandria database).

Lattice parameters (Å, degrees): 3.8061 3.8061 13.7577 90.00 90.00 90.00
Closest atoms and distances in Å follow each position.
Atoms (fractional coordinates):
Ho (0.2500, 0.2500, 0.1187)  6 S 2.60-2.89
Ho (0.7500, 0.7500, 0.8813)  6 S 2.60-2.89
U (0.2500, 0.2500, 0.5867)  4 N 2.25
U (0.7500, 0.7500, 0.4133)  4 N 2.25
S (0.2500, 0.2500, 0.3080)  1 Ho 2.60
S (0.2500, 0.2500, 0.9085)  5 Ho 2.72-2.89
S (0.7500, 0.7500, 0.0915)  5 Ho 2.72-2.89
S (0.7500, 0.7500, 0.6920)  1 Ho 2.60
N (0.2500, 0.7500, 0.5000)  4 U 2.25
N (0.7500, 0.2500, 0.5000)  4 U 2.25

Summary:
Its formation energy without anion corrections is -848.9 kJ/mol of formula units.


[20]
# LiThNp2Se4

A relaxed structure of LiThNp2Se4 (PBE-GGA, the Alexandria database).

Lattice parameters (Å, degrees): 7.1003 4.0955 7.1904 90.00 109.45 90.00
Closest atoms and distances in Å follow each position.
Atoms (fractional coordinates):
Li (0.0000, 0.0000, 0.0000)  6 Se 2.84-2.86
Th (0.0000, 0.5000, 0.5000)  6 Se 2.94-2.95
Np (0.5000, 0.0000, 0.5000)  6 Se 2.96-2.99
Np (0.5000, 0.5000, 0.0000)  6 Se 2.87-2.90
Se (0.2433, 0.5000, 0.2404)  2 Li 2.86, 3 Np 2.90-2.96, 1 Th 2.94
Se (0.2504, 0.0000, 0.7634)  1 Li 2.84, 3 Np 2.87-2.99, 2 Th 2.95
Se (0.7496, 0.0000, 0.2366)  1 Li 2.84, 3 Np 2.87-2.99, 2 Th 2.95
Se (0.7567, 0.5000, 0.7596)  2 Li 2.86, 3 Np 2.90-2.96, 1 Th 2.94

Summary:
Its formation energy without anion corrections is -950.6 kJ/mol of formula units.